# 1
CdHg | GGA-PBEsol | relaxed

abc: 10.241 8.712 6.009
angles: 90.00 90.00 90.00
Fractional coordinates of all 24 atoms:
Cd  0.007  0.004  0.250
Cd  0.007  0.496  0.750
Cd  0.332  0.534  0.750
Cd  0.332  0.966  0.250
Cd  0.468  0.250  0.000
Cd  0.468  0.250  0.500
Cd  0.532  0.750  0.000
Cd  0.532  0.750  0.500
Cd  0.668  0.034  0.750
Cd  0.668  0.466  0.250
Cd  0.993  0.504  0.250
Cd  0.993  0.996  0.750
Hg  0.147  0.750  0.000
Hg  0.147  0.750  0.500
Hg  0.188  0.240  0.750
Hg  0.188  0.260  0.250
Hg  0.354  0.537  0.250
Hg  0.354  0.963  0.750
Hg  0.646  0.037  0.250
Hg  0.646  0.463  0.750
Hg  0.812  0.740  0.750
Hg  0.812  0.760  0.250
Hg  0.853  0.250  0.000
Hg  0.853  0.250  0.500

Formation energy ... 0.01 eV per atom
E ... -0.87 eV/atom
Magnetization ... 0.00 μB per cell



# 2
ZrCoAg2 | GGA-PBEsol | relaxed

abc: 2.801 4.577 5.167
angles: 90.00 105.14 90.00
Fractional coordinates of all 4 atoms:
Zr  0.000  0.000  0.000
Co  0.500  0.000  0.500
Ag  0.340  0.500  0.732
Ag  0.660  0.500  0.268

Formation energy ... 0.14 eV per atom
E ... -5.72 eV/atom
Energy relative to the lowest polymorph listed for this composition ... 191 meV/atom
Magnetization ... 0.78 μB per cell



# 3
Sb8Au | GGA-PBEsol | relaxed

abc: 8.092 8.092 8.092
angles: 93.05 93.05 153.31
Fractional coordinates of all 9 atoms:
Sb  0.000  0.339  0.339
Sb  0.000  0.661  0.661
Sb  0.339  0.000  0.339
Sb  0.357  0.357  0.714
Sb  0.357  0.643  0.000
Sb  0.643  0.357  0.000
Sb  0.643  0.643  0.286
Sb  0.661  0.000  0.661
Au  0.000  0.000  0.000

Uncorrected formation energy ... 1.4 eV per formula unit
E ... -4.33 eV/atom
Magnetization ... 0.00 μB per cell



# 4
BaScTa2Ag | GGA-PBEsol | relaxed

abc: 4.848 4.848 5.798
angles: 90.00 90.00 90.00
Fractional coordinates of all 5 atoms:
Ba  0.000  0.000  0.000
Sc  0.000  0.000  0.500
Ta  0.000  0.500  0.500
Ta  0.500  0.000  0.500
Ag  0.500  0.500  0.000

Formation energy ... 1.78 eV per atom
E ... -5.66 eV/atom
Magnetization ... 1.81 μB per cell



# 5
Pt2Pb | GGA-PBEsol | relaxed

abc: 8.831 8.831 3.890
angles: 90.00 90.00 155.55
Fractional coordinates of all 6 atoms:
Pt  0.056  0.944  0.750
Pt  0.436  0.564  0.750
Pt  0.564  0.436  0.250
Pt  0.944  0.056  0.250
Pb  0.321  0.679  0.250
Pb  0.679  0.321  0.750

Formation energy ... -0.06 eV per atom
E ... -6.03 eV/atom
Magnetization ... 0.00 μB per cell



# 6
Sn2ClF3 | GGA-PBEsol | relaxed

abc: 7.693 7.693 7.693
angles: 90.00 90.00 90.00
Fractional coordinates of all 24 atoms:
Sn  0.074  0.426  0.574
Sn  0.102  0.898  0.398
Sn  0.398  0.102  0.898
Sn  0.426  0.574  0.074
Sn  0.574  0.074  0.426
Sn  0.602  0.602  0.602
Sn  0.898  0.398  0.102
Sn  0.926  0.926  0.926
Cl  0.244  0.744  0.756
Cl  0.256  0.256  0.256
Cl  0.744  0.756  0.244
Cl  0.756  0.244  0.744
F  0.122  0.123  0.868
F  0.123  0.868  0.122
F  0.132  0.622  0.377
F  0.368  0.378  0.877
F  0.377  0.132  0.622
F  0.378  0.877  0.368
F  0.622  0.377  0.132
F  0.623  0.632  0.878
F  0.632  0.878  0.623
F  0.868  0.122  0.123
F  0.877  0.368  0.378
F  0.878  0.623  0.632

Uncorrected formation energy ... -11.7 eV per formula unit
E ... -4.66 eV/atom
Magnetization ... 0.00 μB per cell



# 7
LiZn2Cd | GGA-PBEsol | relaxed

abc: 3.201 3.201 6.049
angles: 90.00 90.00 90.00
Fractional coordinates of all 4 atoms:
Li  0.000  0.000  0.000
Zn  0.500  0.500  0.218
Zn  0.500  0.500  0.782
Cd  0.000  0.000  0.500

Formation energy ... -0.09 eV per atom
E ... -1.67 eV/atom
Magnetization ... 0.00 μB per cell



# 8
MnSe | GGA-PBEsol | relaxed

abc: 3.759 3.759 5.665
angles: 90.00 90.00 120.00
Fractional coordinates of all 4 atoms:
Mn  0.000  0.000  0.000
Mn  0.000  0.000  0.500
Se  0.333  0.667  0.250
Se  0.667  0.333  0.750

Uncorrected formation energy ... -0.5 eV per formula unit
E ... -7.05 eV/atom
Magnetization ... 7.71 μB per cell



# 9
SmAgO2 | GGA-PBEsol | relaxed

abc: 6.473 6.473 6.473
angles: 32.44 32.44 32.44
Fractional coordinates of all 4 atoms:
Sm  0.000  0.000  0.000
Ag  0.500  0.500  0.500
O  0.390  0.390  0.390
O  0.610  0.610  0.610

Uncorrected formation energy ... -8.7 eV per formula unit
E ... -6.90 eV/atom
Magnetization ... 0.00 μB per cell



# 10
KMgP2 | GGA-PBEsol | relaxed

abc: 2.999 2.999 8.514
angles: 90.00 90.00 90.00
Fractional coordinates of all 4 atoms:
K  0.000  0.000  0.000
Mg  0.000  0.000  0.500
P  0.500  0.500  0.288
P  0.500  0.500  0.712

Formation energy ... -0.12 eV per atom
E ... -3.73 eV/atom
Magnetization ... 0.00 μB per cell



# 11
AuSeBr2 | GGA-PBEsol | relaxed

abc: 3.606 3.606 8.123
angles: 90.00 90.00 90.00
Fractional coordinates of all 4 atoms:
Au  0.000  0.000  0.000
Se  0.500  0.500  0.104
Br  0.000  0.000  0.695
Br  0.500  0.500  0.394

Uncorrected formation energy ... 0.4 eV per formula unit
E ... -2.78 eV/atom
Energy relative to the lowest polymorph listed for this composition ... 42 meV/atom
Magnetization ... 0.00 μB per cell



# 12
Sm2VFeO6 | GGA-PBEsol | relaxed

abc: 5.233 5.503 9.107
angles: 90.00 124.69 90.00
Fractional coordinates of all 20 atoms:
Sm  0.234  0.061  0.250
Sm  0.234  0.439  0.750
Sm  0.766  0.561  0.250
Sm  0.766  0.939  0.750
V  0.500  0.000  0.000
V  0.500  0.500  0.500
Fe  0.000  0.000  0.500
Fe  0.000  0.500  0.000
O  0.157  0.205  0.956
O  0.157  0.295  0.456
O  0.255  0.706  0.957
O  0.255  0.794  0.457
O  0.333  0.019  0.750
O  0.333  0.481  0.250
O  0.667  0.519  0.750
O  0.667  0.981  0.250
O  0.745  0.206  0.543
O  0.745  0.294  0.043
O  0.843  0.705  0.544
O  0.843  0.795  0.044

Uncorrected formation energy ... -26.8 eV per formula unit
E ... -8.71 eV/atom
Magnetization ... 2.01 μB per cell